# PBE+U NbCrGeO6, optimized geometry
# total moment: 3.00 μB/f.u.
# final energy: -7.82 eV per atom
# N(E_F): 0.00 states/eV/f.u.
data_NbCrGeO6
_space_group_name_H-M_alt 'P 42 n m'
_space_group_IT_number 102
_space_group_name_Hall 'P 4n -2n'
_cell_length_a 4.6538
_cell_length_b 4.6538
_cell_length_c 9.0416
_cell_angle_alpha 90.00
_cell_angle_beta 90.00
_cell_angle_gamma 90.00
loop_
_atom_site_label
_atom_site_type_symbol
_atom_site_fract_x
_atom_site_fract_y
_atom_site_fract_z
Nb1 Nb 0.0000 0.0000 0.0000
Cr1 Cr 0.0000 0.0000 0.3294
Ge1 Ge 0.0000 0.0000 0.6614
O1 O 0.1897 0.1897 0.5019
O2 O 0.1901 0.1901 0.8220
O3 O 0.2052 0.2052 0.1579